No. 1
Material: ZrCdRu2
Method: DFT, PBE
State: optimized geometry

Properties
E ... -27.766 eV/f.u.
Formation energy ... 62 meV/atom
Calculated volume ... 17.5 Å³ per atom
SG ... C2/m (12)

a = 8.9402 Å, b = 3.0846 Å, c = 5.2055 Å
α = 90.00°, β = 103.23°, γ = 90.00°
Fractional positions:
Zr  0.0000  0.0000  0.0000
Zr  0.5000  0.5000  0.0000
Cd  0.0000  0.5000  0.5000
Cd  0.5000  0.0000  0.5000
Ru  0.2427  0.5000  0.2334
Ru  0.2573  0.0000  0.7666
Ru  0.7427  0.0000  0.2334
Ru  0.7573  0.5000  0.7666

---

No. 2
Material: Cs5SnO4
Method: DFT, PBE
State: optimized geometry

Properties
E ... -40.246 eV/f.u.
Calculated volume ... 31.8 Å³ per atom
SG ... Pmmn (59)
Formation energy from raw total energies ... -1.2143 eV/atom

a = 8.4176 Å, b = 10.9041 Å, c = 6.9259 Å
α = 90.00°, β = 90.00°, γ = 90.00°
Fractional positions:
Cs  0.0111  0.0735  0.2457
Cs  0.0111  0.4265  0.2457
Cs  0.2500  0.7500  0.2534
Cs  0.4889  0.0735  0.2457
Cs  0.4889  0.4265  0.2457
Cs  0.5111  0.5735  0.7543
Cs  0.5111  0.9265  0.7543
Cs  0.7500  0.2500  0.7466
Cs  0.9889  0.5735  0.7543
Cs  0.9889  0.9265  0.7543
Sn  0.2500  0.2500  0.7522
Sn  0.7500  0.7500  0.2478
O  0.0554  0.2500  0.5817
O  0.2500  0.0980  0.9205
O  0.2500  0.4020  0.9205
O  0.4446  0.2500  0.5817
O  0.5554  0.7500  0.4183
O  0.7500  0.5980  0.0795
O  0.7500  0.9020  0.0795
O  0.9446  0.7500  0.4183

---

No. 3
Material: Th2ScTc
Method: DFT, PBE
State: optimized geometry

Properties
E ... -31.716 eV/f.u.
Excess energy over the best structure of this formula in the dataset ... 0.000 eV per formula unit
Formation energy ... -45 meV/atom
Calculated volume ... 26.0 Å³ per atom
SG ... P2_1/m (11)

a = 3.8520 Å, b = 9.8207 Å, c = 5.4967 Å
α = 90.00°, β = 90.00°, γ = 90.00°
Fractional positions:
Th  0.2491  0.0495  0.2502
Th  0.2491  0.4505  0.2502
Th  0.7509  0.5495  0.7498
Th  0.7509  0.9505  0.7498
Sc  0.2528  0.2500  0.7499
Sc  0.7472  0.7500  0.2501
Tc  0.2519  0.7500  0.7474
Tc  0.7481  0.2500  0.2526

---

No. 4
Material: Ca2CrPdN
Method: DFT, PBE
State: optimized geometry

Properties
E ... -22.385 eV/f.u.
Excess energy over the best structure of this formula in the dataset ... 7.498 eV per formula unit
Calculated volume ... 28.1 Å³ per atom
SG ... P4/mmm (123)
Formation energy from raw total energies ... 0.9520 eV/atom

a = 5.3800 Å, b = 5.3800 Å, c = 4.8625 Å
α = 90.00°, β = 90.00°, γ = 90.00°
Fractional positions:
Ca  0.0000  0.5000  0.0000
Ca  0.5000  0.0000  0.0000
Cr  0.0000  0.0000  0.5000
Pd  0.0000  0.0000  0.0000
N  0.5000  0.5000  0.5000

---

No. 5
Material: SmTl2Pb
Method: DFT, PBE
State: optimized geometry

Properties
E ... -14.392 eV/f.u.
Formation energy ... -308 meV/atom
Calculated volume ... 28.4 Å³ per atom
SG ... P4/mmm (123)

a = 4.7293 Å, b = 4.7293 Å, c = 5.0766 Å
α = 90.00°, β = 90.00°, γ = 90.00°
Fractional positions:
Sm  0.0000  0.0000  0.0000
Tl  0.0000  0.5000  0.5000
Tl  0.5000  0.0000  0.5000
Pb  0.5000  0.5000  0.0000

---

No. 6
Material: LiSi6O12
Method: DFT, PBE
State: optimized geometry

Properties
E ... -143.157 eV/f.u.
Excess energy over the best structure of this formula in the dataset ... 0.000 eV per formula unit
Calculated volume ... 13.7 Å³ per atom
SG ... P1 (1)
Formation energy from raw total energies ... -2.5898 eV/atom

a = 5.2508 Å, b = 7.4607 Å, c = 7.5774 Å
α = 73.46°, β = 71.11°, γ = 71.32°
Fractional positions:
Li  0.0000  0.0000  0.0000
Si  0.0692  0.4185  0.9984
Si  0.4127  0.5966  0.1581
Si  0.4146  0.9677  0.5417
Si  0.4323  0.5321  0.5813
Si  0.4353  0.0123  0.1187
Si  0.7753  0.1371  0.6918
O  0.1061  0.0398  0.6852
O  0.1349  0.1828  0.0682
O  0.1833  0.4781  0.7660
O  0.2119  0.5121  0.0982
O  0.3179  0.8337  0.0880
O  0.3484  0.5442  0.3894
O  0.3918  0.0748  0.3271
O  0.4906  0.7336  0.5796
O  0.6484  0.0212  0.6025
O  0.6487  0.1190  0.9220
O  0.7223  0.3635  0.5871
O  0.7341  0.5066  0.0541

---

No. 7
Material: Na2NdTlPb2
Method: DFT, PBE
State: optimized geometry

Properties
E ... -18.665 eV/f.u.
Formation energy ... -246 meV/atom
Calculated volume ... 30.5 Å³ per atom
SG ... Pmc2_1 (26)

a = 4.8021 Å, b = 9.7237 Å, c = 7.8483 Å
α = 90.00°, β = 90.00°, γ = 90.00°
Fractional positions:
Na  0.0000  0.0596  0.0000
Na  0.0000  0.9404  0.5000
Na  0.5000  0.1730  0.2977
Na  0.5000  0.8270  0.7977
Nd  0.5000  0.4532  0.9125
Nd  0.5000  0.5468  0.4125
Tl  0.0000  0.3172  0.5885
Tl  0.0000  0.6828  0.0885
Pb  0.0000  0.3714  0.1874
Pb  0.0000  0.6286  0.6874
Pb  0.5000  0.1527  0.7223
Pb  0.5000  0.8473  0.2223

---

No. 8
Material: DyPa2Co
Method: DFT, PBE
State: optimized geometry

Properties
E ... -30.706 eV/f.u.
Excess energy over the best structure of this formula in the dataset ... 0.000 eV per formula unit
Formation energy ... -2 meV/atom
Calculated volume ... 24.1 Å³ per atom
SG ... R-3m (166)

a = 3.5264 Å, b = 3.5264 Å, c = 26.8432 Å
α = 90.00°, β = 90.00°, γ = 120.00°
Fractional positions:
Dy  0.0000  0.0000  0.0000
Dy  0.3333  0.6667  0.6667
Dy  0.6667  0.3333  0.3333
Pa  0.0000  0.0000  0.2292
Pa  0.0000  0.0000  0.7708
Pa  0.3333  0.6667  0.4375
Pa  0.3333  0.6667  0.8958
Pa  0.6667  0.3333  0.1042
Pa  0.6667  0.3333  0.5625
Co  0.0000  0.0000  0.5000
Co  0.3333  0.6667  0.1667
Co  0.6667  0.3333  0.8333

---

No. 9
Material: KRb4Na3
Method: DFT, PBE
State: optimized geometry

Properties
E ... -8.644 eV/f.u.
Formation energy ... 35 meV/atom
Calculated volume ... 65.8 Å³ per atom
SG ... Pmma (51)

a = 14.3342 Å, b = 10.2440 Å, c = 7.1712 Å
α = 90.00°, β = 90.00°, γ = 90.00°
Fractional positions:
K  0.0000  0.0000  0.0000
K  0.5000  0.0000  0.0000
Rb  0.0000  0.2658  0.5000
Rb  0.0000  0.7342  0.5000
Rb  0.2500  0.2659  0.0015
Rb  0.2500  0.7341  0.0015
Rb  0.5000  0.2658  0.5000
Rb  0.5000  0.7342  0.5000
Rb  0.7500  0.2659  0.9985
Rb  0.7500  0.7341  0.9985
Na  0.0000  0.5000  0.0000
Na  0.2500  0.0000  0.5003
Na  0.2500  0.5000  0.5019
Na  0.5000  0.5000  0.0000
Na  0.7500  0.0000  0.4997
Na  0.7500  0.5000  0.4981

---

No. 10
Material: ZrTcW2
Method: DFT, PBE
State: optimized geometry

Properties
E ... -42.114 eV/f.u.
Excess energy over the best structure of this formula in the dataset ... 3.038 eV per formula unit
Formation energy ... 677 meV/atom
Calculated volume ... 18.7 Å³ per atom
SG ... I-42d (122)

a = 7.4393 Å, b = 7.4393 Å, c = 5.3930 Å
α = 90.00°, β = 90.00°, γ = 90.00°
Fractional positions:
Zr  0.0000  0.0000  0.0000
Zr  0.0000  0.5000  0.2500
Zr  0.5000  0.0000  0.7500
Zr  0.5000  0.5000  0.5000
Tc  0.0000  0.0000  0.5000
Tc  0.0000  0.5000  0.7500
Tc  0.5000  0.0000  0.2500
Tc  0.5000  0.5000  0.0000
W  0.2145  0.2500  0.6250
W  0.2500  0.7145  0.8750
W  0.2500  0.7855  0.3750
W  0.2855  0.2500  0.1250
W  0.7145  0.7500  0.1250
W  0.7500  0.2145  0.3750
W  0.7500  0.2855  0.8750
W  0.7855  0.7500  0.6250

---

No. 11
Material: SmHN
Method: DFT, PBE
State: optimized geometry

Properties
E ... -18.601 eV/f.u.
Calculated volume ... 13.5 Å³ per atom
SG ... Pnma (62)

a = 7.5731 Å, b = 5.1299 Å, c = 4.1837 Å
α = 90.00°, β = 90.00°, γ = 90.00°
Fractional positions:
Sm  0.1607  0.2500  0.1337
Sm  0.3393  0.7500  0.6337
Sm  0.6607  0.2500  0.3663
Sm  0.8393  0.7500  0.8663
H  0.0781  0.7500  0.2846
H  0.4219  0.2500  0.7846
H  0.5781  0.7500  0.2154
H  0.9219  0.2500  0.7154
N  0.1694  0.7500  0.0914
N  0.3306  0.2500  0.5914
N  0.6694  0.7500  0.4086
N  0.8306  0.2500  0.9086

---

No. 12
Material: CuReOs2
Method: DFT, PBE
State: optimized geometry

Properties
E ... -37.048 eV/f.u.
Excess energy over the best structure of this formula in the dataset ... 1.235 eV per formula unit
Formation energy ... 489 meV/atom
Calculated volume ... 14.5 Å³ per atom
SG ... Cmmm (65)

a = 2.8029 Å, b = 4.5692 Å, c = 9.0588 Å
α = 90.00°, β = 90.00°, γ = 90.00°
Fractional positions:
Cu  0.0000  0.0000  0.0000
Cu  0.5000  0.5000  0.0000
Re  0.0000  0.0000  0.5000
Re  0.5000  0.5000  0.5000
Os  0.0000  0.5000  0.2493
Os  0.0000  0.5000  0.7507
Os  0.5000  0.0000  0.2493
Os  0.5000  0.0000  0.7507

---

No. 13
Material: CaDyTm2
Method: DFT, PBE
State: optimized geometry

Properties
E ... -14.860 eV/f.u.
Excess energy over the best structure of this formula in the dataset ... 0.391 eV per formula unit
Formation energy ... 172 meV/atom
Calculated volume ... 33.1 Å³ per atom
SG ... R-3m (166)

a = 3.5157 Å, b = 3.5157 Å, c = 37.1632 Å
α = 90.00°, β = 90.00°, γ = 120.00°
Fractional positions:
Ca  0.0000  0.0000  0.0000
Ca  0.3333  0.6667  0.6667
Ca  0.6667  0.3333  0.3333
Dy  0.0000  0.0000  0.5000
Dy  0.3333  0.6667  0.1667
Dy  0.6667  0.3333  0.8333
Tm  0.0000  0.0000  0.0912
Tm  0.0000  0.0000  0.9088
Tm  0.3333  0.6667  0.5755
Tm  0.3333  0.6667  0.7578
Tm  0.6667  0.3333  0.2422
Tm  0.6667  0.3333  0.4245

---

No. 14
Material: CdCo2Ir
Method: DFT, PBE
State: optimized geometry

Properties
E ... -23.124 eV/f.u.
Formation energy ... 216 meV/atom
Calculated volume ... 14.2 Å³ per atom
SG ... Pmmm (47)

a = 2.7141 Å, b = 3.6318 Å, c = 5.7488 Å
α = 90.00°, β = 90.00°, γ = 90.00°
Fractional positions:
Cd  0.0000  0.0000  0.0000
Co  0.5000  0.5000  0.2869
Co  0.5000  0.5000  0.7131
Ir  0.0000  0.0000  0.5000

---

No. 15
Material: BeRh2C
Method: DFT, PBE
State: optimized geometry

Properties
E ... -26.270 eV/f.u.
Excess energy over the best structure of this formula in the dataset ... 0.000 eV per formula unit
Formation energy ... 346 meV/atom
Calculated volume ... 13.4 Å³ per atom
SG ... I-42d (122)

a = 4.8888 Å, b = 4.8888 Å, c = 8.9390 Å
α = 90.00°, β = 90.00°, γ = 90.00°
Fractional positions:
Be  0.0000  0.0000  0.0000
Be  0.0000  0.5000  0.2500
Be  0.5000  0.0000  0.7500
Be  0.5000  0.5000  0.5000
Rh  0.2048  0.2500  0.6250
Rh  0.2500  0.7048  0.8750
Rh  0.2500  0.7952  0.3750
Rh  0.2952  0.2500  0.1250
Rh  0.7048  0.7500  0.1250
Rh  0.7500  0.2048  0.3750
Rh  0.7500  0.2952  0.8750
Rh  0.7952  0.7500  0.6250
C  0.0000  0.0000  0.5000
C  0.0000  0.5000  0.7500
C  0.5000  0.0000  0.2500
C  0.5000  0.5000  0.0000

---

No. 16
Material: Ac2HoTm
Method: DFT, PBE
State: optimized geometry

Properties
E ... -16.908 eV/f.u.
Excess energy over the best structure of this formula in the dataset ... 0.131 eV per formula unit
Formation energy ... 90 meV/atom
Calculated volume ... 37.2 Å³ per atom
SG ... R3m (160)

a = 3.7814 Å, b = 3.7814 Å, c = 36.0099 Å
α = 90.00°, β = 90.00°, γ = 120.00°
Fractional positions:
Ac  0.0000  0.0000  0.0000
Ac  0.0000  0.0000  0.1671
Ac  0.3333  0.6667  0.6667
Ac  0.3333  0.6667  0.8338
Ac  0.6667  0.3333  0.3333
Ac  0.6667  0.3333  0.5004
Ho  0.0000  0.0000  0.4160
Ho  0.3333  0.6667  0.0826
Ho  0.6667  0.3333  0.7493
Tm  0.0000  0.0000  0.5846
Tm  0.3333  0.6667  0.2513
Tm  0.6667  0.3333  0.9179

---

No. 17
Material: ReHgAs
Method: DFT, PBE
State: optimized geometry

Properties
E ... -15.729 eV/f.u.
Excess energy over the best structure of this formula in the dataset ... 0.661 eV per formula unit
Formation energy ... 557 meV/atom
Calculated volume ... 20.6 Å³ per atom
SG ... Fmm2 (42)

a = 3.0405 Å, b = 4.9761 Å, c = 16.3684 Å
α = 90.00°, β = 90.00°, γ = 90.00°
Fractional positions:
Re  0.0000  0.0000  0.0000
Re  0.0000  0.5000  0.5000
Re  0.5000  0.0000  0.5000
Re  0.5000  0.5000  0.0000
Hg  0.0000  0.0000  0.6574
Hg  0.0000  0.5000  0.1574
Hg  0.5000  0.0000  0.1574
Hg  0.5000  0.5000  0.6574
As  0.0000  0.0000  0.3816
As  0.0000  0.5000  0.8816
As  0.5000  0.0000  0.8816
As  0.5000  0.5000  0.3816

---

No. 18
Material: SrLaCo2
Method: DFT, PBE
State: optimized geometry

Properties
E ... -20.276 eV/f.u.
Excess energy over the best structure of this formula in the dataset ... 0.237 eV per formula unit
Formation energy ... 136 meV/atom
Calculated volume ... 28.8 Å³ per atom
SG ... C2/m (12)

a = 9.7683 Å, b = 4.1135 Å, c = 7.0942 Å
α = 90.00°, β = 126.20°, γ = 90.00°
Fractional positions:
Sr  0.0000  0.0000  0.0000
Sr  0.5000  0.5000  0.0000
La  0.0000  0.5000  0.5000
La  0.5000  0.0000  0.5000
Co  0.2384  0.5000  0.4377
Co  0.2616  0.0000  0.5623
Co  0.7384  0.0000  0.4377
Co  0.7616  0.5000  0.5623

---

No. 19
Material: BaB3W
Method: DFT, PBE
State: optimized geometry

Properties
E ... -17.026 eV/f.u.
Excess energy over the best structure of this formula in the dataset ... 15.463 eV per formula unit
Formation energy ... 3577 meV/atom
Calculated volume ... 17.2 Å³ per atom
SG ... Pm-3m (221)

a = 4.4112 Å, b = 4.4112 Å, c = 4.4112 Å
α = 90.00°, β = 90.00°, γ = 90.00°
Fractional positions:
Ba  0.0000  0.0000  0.0000
B  0.0000  0.0000  0.5000
B  0.0000  0.5000  0.0000
B  0.5000  0.0000  0.0000
W  0.5000  0.5000  0.5000

---

No. 20
Material: K2P2Pd5
Method: DFT, PBE
State: optimized geometry

Properties
E ... -41.280 eV/f.u.
Formation energy ... -256 meV/atom
Calculated volume ... 25.2 Å³ per atom
SG ... C2/m (12)

a = 7.4204 Å, b = 7.4204 Å, c = 7.7097 Å
α = 108.06°, β = 108.06°, γ = 34.39°
Fractional positions:
K  0.1198  0.1198  0.3062
K  0.8802  0.8802  0.6938
P  0.3603  0.3603  0.0790
P  0.6397  0.6397  0.9210
Pd  0.1952  0.1952  0.8934
Pd  0.4108  0.4108  0.3796
Pd  0.5000  0.5000  0.0000
Pd  0.5892  0.5892  0.6204
Pd  0.8048  0.8048  0.1066